Record 1
{
  "formula": "KGa2AsO6",
  "functional": "PBE",
  "state": "relaxed",
  "cell": [[4.445, -5.886, 0.000], [4.445, 5.886, 0.000], [-2.410, 0.000, 5.676]],
  "species": ["K", "K", "Ga", "Ga", "Ga", "Ga", "As", "As", "O", "O", "O", "O", "O", "O", "O", "O", "O", "O", "O", "O"],
  "fractional_positions": [[0.102, 0.898, 0.750], [0.898, 0.102, 0.250], [0.299, 0.451, 0.854], [0.451, 0.299, 0.354], [0.549, 0.701, 0.646], [0.701, 0.549, 0.146], [0.200, 0.800, 0.250], [0.800, 0.200, 0.750], [0.033, 0.246, 0.720], [0.190, 0.645, 0.989], [0.246, 0.033, 0.220], [0.328, 0.428, 0.547], [0.355, 0.810, 0.511], [0.428, 0.328, 0.047], [0.572, 0.672, 0.953], [0.645, 0.190, 0.489], [0.672, 0.572, 0.453], [0.754, 0.967, 0.780], [0.810, 0.355, 0.011], [0.967, 0.754, 0.280]],
  "e_form_raw_mev_per_atom": -1643,
  "sg": "C2/c (15)",
  "magnetic_moment_mub_per_cell": 0.000,
  "n_ef_per_ev_fu": 0.00
}

Record 2
{
  "formula": "LiZr3Ru",
  "functional": "PBE",
  "state": "relaxed",
  "cell": [[5.064, 0.000, 0.000], [0.000, 5.064, 0.000], [0.000, 0.000, 5.064]],
  "species": ["Li", "Zr", "Zr", "Zr", "Ru"],
  "fractional_positions": [[0.000, 0.000, 0.000], [0.000, 0.500, 0.500], [0.500, 0.000, 0.500], [0.500, 0.500, 0.000], [0.500, 0.500, 0.500]],
  "sg": "Pm-3m (221)",
  "magnetic_moment_mub_per_cell": 1.251,
  "polymorph_energy_mev_per_atom": 0.0,
  "ef_mev_per_atom": 359,
  "n_ef_per_ev_fu": 6.20
}